<a>
A geometry-optimized HPd3Pb structure, computed with PBE-GGA.

Computed properties:
N(E_F), states/eV per atom: 0.962
Crystal system: trigonal

abc: 6.0174 6.0174 6.0174
angles: 58.32 58.32 58.32
Last column: nearest neighbours and their distance in Å.
Fractional positions:
Pd: 0.7429 0.2553 0.7431  1 H 1.76
Pd: 0.7447 0.2569 0.2571  1 H 1.76
Pd: 0.7431 0.7429 0.2553  1 H 1.76
Pd: 0.2553 0.7431 0.7429  1 H 1.76
Pd: 0.2569 0.2571 0.7447  1 H 1.76
Pd: 0.2571 0.7447 0.2569  1 H 1.76
H: 0.0646 0.0646 0.0646  3 Pd 1.76, 1 H 1.93
H: 0.9354 0.9354 0.9354  3 Pd 1.76, 1 H 1.93
Pb: 0.2543 0.2543 0.2543  1 H 2.83, 12 Pd 2.93-3.05
Pb: 0.7457 0.7457 0.7457  1 H 2.83, 12 Pd 2.93-3.05

---

<b>
A geometry-optimized HPd3Pb structure, computed with PBE-GGA.

Computed properties:
N(E_F), states/eV per atom: 0.367
Crystal system: orthorhombic

abc: 5.4219 5.4219 5.9526
angles: 90.00 90.00 117.07
Last column: nearest neighbours and their distance in Å.
Fractional positions:
Pd: 0.9955 0.4946 0.2500  1 H 1.84
Pd: 0.0000 0.0000 0.5000  2 H 1.89
Pd: 0.5054 0.0045 0.2500  1 H 1.84
Pd: 0.0000 0.0000 0.0000  2 H 1.89
Pd: 0.4946 0.9955 0.7500  1 H 1.84
Pd: 0.0045 0.5054 0.7500  1 H 1.84
Pb: 0.4976 0.5024 0.2500  4 Pd 2.70-2.72, 2 Pb 2.98
Pb: 0.5024 0.4976 0.7500  4 Pd 2.70-2.72, 2 Pb 2.98
H: 0.1267 0.8733 0.2500  4 Pd 1.84-1.89
H: 0.8733 0.1267 0.7500  4 Pd 1.84-1.89

---

<c>
A geometry-optimized HPd3Pb structure, computed with PBE-GGA.

Computed properties:
N(E_F), states/eV per atom: 0.993
Crystal system: cubic

abc: 5.1631 5.1631 5.1631
angles: 90.00 90.00 90.00
Last column: nearest neighbours and their distance in Å.
Fractional positions:
H: 0.5000 0.5000 0.5000  12 Pd 3.65
Pd: 0.0000 0.5000 0.0000  2 Pb 2.58
Pd: 0.5000 0.0000 0.0000  2 Pb 2.58
Pd: 0.0000 0.0000 0.5000  2 Pb 2.58
Pb: 0.0000 0.0000 0.0000  6 Pd 2.58

---

The relative energies come out as <a> 0.0; <b> 11.9; <c> 141.3, with values in kJ/mol of atoms.

---

<a>
A geometry-optimized HPd3Pb2 structure, computed with PBE-GGA.

Computed properties:
N(E_F), states/eV per atom: 0.337
Crystal system: orthorhombic

abc: 3.6706 6.4457 9.1001
angles: 90.00 101.64 90.00
Last column: nearest neighbours and their distance in Å.
Fractional positions:
Pd: 0.4027 0.0225 0.8054  1 H 1.96
Pd: 0.1699 0.2500 0.3398  2 H 1.88
Pd: 0.8301 0.7500 0.6602  2 H 1.88
Pd: 0.5973 0.9775 0.1946  1 H 1.96
Pd: 0.4027 0.4775 0.8054  1 H 1.96
Pd: 0.5973 0.5225 0.1946  1 H 1.96
Pb: 0.8011 0.2500 0.6022  1 H 2.76, 6 Pd 2.97
Pb: 0.1989 0.7500 0.3978  1 H 2.76, 6 Pd 2.97
Pb: 0.9985 0.7500 0.9971  9 Pd 2.94-3.06, 2 H 3.16, 2 Pb 3.22
Pb: 0.0015 0.2500 0.0029  9 Pd 2.94-3.06, 2 H 3.16, 2 Pb 3.22
H: 0.6461 0.2500 0.2922  4 Pd 1.88-1.96
H: 0.3539 0.7500 0.7078  4 Pd 1.88-1.96

---

<b>
A geometry-optimized HPd3Pb2 structure, computed with PBE-GGA.

Computed properties:
N(E_F), states/eV per atom: 0.353
Crystal system: monoclinic

abc: 5.4379 6.3684 6.9360
angles: 103.78 113.08 90.00
Last column: nearest neighbours and their distance in Å.
Fractional positions:
Pd: 0.1145 0.0524 0.2231  2 H 2.10-2.14
Pd: 0.8913 0.4476 0.7769  2 H 2.10-2.14
Pd: 0.8855 0.9476 0.7769  2 H 2.10-2.14
Pd: 0.1087 0.5524 0.2231  2 H 2.10-2.14
Pd: 0.3781 0.2500 0.0000  1 H 1.80
Pd: 0.6219 0.7500 0.0000  1 H 1.80
H: 0.0478 0.2500 0.0000  1 Pd 1.80
H: 0.9522 0.7500 0.0000  1 Pd 1.80
Pb: 0.6870 0.5957 0.3776  6 Pd 2.88-2.94, 2 Pb 3.18
Pb: 0.3130 0.4043 0.6224  6 Pd 2.88-2.94, 2 Pb 3.18
Pb: 0.6907 0.0957 0.3776  6 Pd 2.88-2.94, 2 Pb 3.18
Pb: 0.3093 0.9043 0.6224  6 Pd 2.88-2.94, 2 Pb 3.18

---

The relative energies come out as <a> 0.0; <b> 6.8, with values in kJ/mol of atoms.

---

<a>
A geometry-optimized H2PdPb2 structure, computed with PBE-GGA.

Computed properties:
N(E_F), states/eV per atom: 0.170
Crystal system: monoclinic

abc: 3.5254 3.5254 8.1559
angles: 90.13 90.13 60.00
Last column: nearest neighbours and their distance in Å.
Fractional positions:
Pb: 0.3342 0.3342 0.2529  3 H 2.26-2.27
Pb: 0.6658 0.6658 0.7471  3 H 2.26-2.27
Pd: 0.0000 0.0000 0.0000  6 Pb 2.90
H: 0.3318 0.3318 0.6253  3 Pb 2.26-2.27
H: 0.6682 0.6682 0.3747  3 Pb 2.26-2.27

---

<b>
A geometry-optimized H2PdPb2 structure, computed with PBE-GGA.

Computed properties:
N(E_F), states/eV per atom: 0.281
Crystal system: tetragonal

abc: 3.5498 3.5498 6.9868
angles: 75.28 75.28 90.00
Last column: nearest neighbours and their distance in Å.
Fractional positions:
Pb: 0.3673 0.3673 0.2654  4 H 2.34
Pb: 0.6327 0.6327 0.7346  4 H 2.34
H: 0.7500 0.2500 0.5000  4 Pb 2.34, 4 H 2.51
H: 0.2500 0.7500 0.5000  4 Pb 2.34, 4 H 2.51
Pd: 0.0000 0.0000 0.0000  8 Pb 3.05

---

The relative energies come out as <a> 0.8; <b> 0.0, with values in kJ/mol of atoms.

---

<a>
A geometry-optimized H3Pd3Pb structure, computed with PBE-GGA.

Computed properties:
N(E_F), states/eV per atom: 0.327
Crystal system: trigonal

abc: 5.3543 5.3543 7.7949
angles: 69.91 69.91 60.00
Last column: nearest neighbours and their distance in Å.
Fractional positions:
H: 0.8022 0.1333 0.6086  4 Pd 1.83-2.01
H: 0.1978 0.8667 0.3914  4 Pd 1.83-2.01
H: 0.1333 0.4559 0.6086  4 Pd 1.83-2.01
H: 0.5441 0.1978 0.3914  4 Pd 1.83-2.01
H: 0.8667 0.5441 0.3914  4 Pd 1.83-2.01
H: 0.4559 0.8022 0.6086  4 Pd 1.83-2.01
Pd: 0.4459 0.1075 0.6717  4 H 1.83-2.01
Pd: 0.7748 0.4459 0.6717  4 H 1.83-2.01
Pd: 0.2252 0.5541 0.3283  4 H 1.83-2.01
Pd: 0.8925 0.2252 0.3283  4 H 1.83-2.01
Pd: 0.1075 0.7748 0.6717  4 H 1.83-2.01
Pd: 0.5541 0.8925 0.3283  4 H 1.83-2.01
Pb: 0.3336 0.3336 0.9993  6 Pd 2.95, 3 Pb 3.09
Pb: 0.6664 0.6664 0.0007  6 Pd 2.95, 3 Pb 3.09

---

<b>
A geometry-optimized H3Pd3Pb structure, computed with PBE-GGA.

Computed properties:
N(E_F), states/eV per atom: 0.190
Crystal system: monoclinic

abc: 3.4398 5.4134 9.7108
angles: 75.46 79.80 71.48
Last column: nearest neighbours and their distance in Å.
Fractional positions:
Pd: 0.1304 0.1973 0.5419  3 H 1.92-1.96
Pd: 0.1253 0.7069 0.0426  5 H 1.87-1.98
Pd: 0.6305 0.9453 0.7937  4 H 1.87-1.94
Pd: 0.8747 0.2931 0.9574  5 H 1.87-1.98
Pd: 0.3695 0.0547 0.2063  4 H 1.87-1.94
Pd: 0.8696 0.8027 0.4581  3 H 1.92-1.96
H: 0.9344 0.0017 0.1294  4 Pd 1.87-1.98
H: 0.3170 0.9597 0.4063  4 Pd 1.87-1.96
H: 0.0656 0.9983 0.8706  4 Pd 1.87-1.98
H: 0.6830 0.0403 0.5937  4 Pd 1.87-1.96
H: 0.3100 0.3415 0.0386  4 Pd 1.88-1.94
H: 0.6900 0.6585 0.9614  4 Pd 1.88-1.94
Pb: 0.6122 0.4714 0.3043  6 H 2.87-3.22, 9 Pd 2.94-3.07
Pb: 0.3878 0.5286 0.6957  6 H 2.87-3.22, 9 Pd 2.94-3.07

---

The relative energies come out as <a> 6.3; <b> 0.0, with values in kJ/mol of atoms.

---

<a>
A geometry-optimized HPd4Pb structure, computed with PBE-GGA.

Computed properties:
N(E_F), states/eV per atom: 0.314
Crystal system: orthorhombic

abc: 4.4161 5.6805 7.4048
angles: 90.00 107.35 90.00
Last column: nearest neighbours and their distance in Å.
Fractional positions:
Pd: 0.8055 0.4952 0.6109  1 H 1.93
Pd: 0.0000 0.5000 0.0000  2 H 2.00
Pd: 0.8055 0.0048 0.6109  1 H 1.93
Pd: 0.0000 0.0000 0.0000  2 H 2.00
Pd: 0.1945 0.9952 0.3891  1 H 1.93
Pd: 0.5980 0.7500 0.1960  2 H 2.21
Pd: 0.1945 0.5048 0.3891  1 H 1.93
Pd: 0.4020 0.2500 0.8040  2 H 2.21
H: 0.0998 0.7500 0.1997  4 Pd 1.93-2.00
H: 0.9002 0.2500 0.8003  4 Pd 1.93-2.00
Pb: 0.3859 0.7500 0.7717  13 Pd 2.85-3.08
Pb: 0.6141 0.2500 0.2283  13 Pd 2.85-3.08

---

<b>
A geometry-optimized HPd4Pb structure, computed with PBE-GGA.

Computed properties:
N(E_F), states/eV per atom: 0.284
Crystal system: tetragonal

abc: 6.5226 6.5226 6.5226
angles: 109.31 109.31 109.80
Last column: nearest neighbours and their distance in Å.
Fractional positions:
Pd: 0.3106 0.6380 0.3274  1 H 2.21
Pd: 0.7332 0.5606 0.1726  1 H 2.21
Pd: 0.3880 0.5606 0.8274  1 H 2.21
Pd: 0.3106 0.9832 0.6726  1 H 2.21
Pd: 0.6782 0.3751 0.6969  1 H 1.78
Pd: 0.7313 0.9282 0.8031  1 H 1.78
Pd: 0.6782 0.9813 0.3031  1 H 1.78
Pd: 0.1251 0.9282 0.1969  1 H 1.78
H: 0.5484 0.0484 0.5000  2 Pd 1.78
H: 0.7984 0.7984 0.0000  2 Pd 1.78
Pb: 0.2239 0.2239 0.0000  6 Pd 2.56-2.84
Pb: 0.9739 0.4739 0.5000  6 Pd 2.56-2.84

---

The relative energies come out as <a> 0.0; <b> 32.3, with values in kJ/mol of atoms.